SrCuRe2: relaxed, PBE.

- Total magnetization: 0.35 μB/f.u.
- Electronic total energy: -105.924 eV per cell
- Symmetry: F-43m (216)

Lattice parameters (Å, degrees): 6.517 6.517 6.517 90.00 90.00 90.00
Sites, in units of the cell vectors:
Sr (0.000, 0.000, 0.000)
Sr (0.000, 0.500, 0.500)
Sr (0.500, 0.000, 0.500)
Sr (0.500, 0.500, 0.000)
Cu (0.250, 0.250, 0.250)
Cu (0.250, 0.750, 0.750)
Cu (0.750, 0.250, 0.750)
Cu (0.750, 0.750, 0.250)
Re (0.000, 0.000, 0.500)
Re (0.000, 0.500, 0.000)
Re (0.250, 0.250, 0.750)
Re (0.250, 0.750, 0.250)
Re (0.500, 0.000, 0.000)
Re (0.500, 0.500, 0.500)
Re (0.750, 0.250, 0.250)
Re (0.750, 0.750, 0.750)